The following is a DFT calculation (GGA-PBE) of a relaxed structure of Li2TaRe.

Unit cell a=2.6005 b=4.2582 c=5.8941 alpha=90.00 beta=90.00 gamma=90.00
Atoms (fractional coordinates):
Li  0.0000  0.0000  0.0000
Li  0.5000  0.5000  0.2218
Ta  0.5000  0.5000  0.7037
Re  0.0000  0.0000  0.4926

Calculated values
Energy relative to the lowest polymorph listed for this composition in eV per atom: 0.135
Crystal system: orthorhombic
Total magnetization in μB per formula unit: 0.0
Total energy in eV per atom: -6.732
Calculated density in Mg/m³: 9.7


The following is a DFT calculation (GGA-PBE) of a relaxed structure of Li2TaRe.

Unit cell a=5.5193 b=5.5193 c=5.5193 alpha=101.74 beta=101.74 gamma=126.38
Atoms (fractional coordinates):
Li  0.1121  0.6250  0.9871
Li  0.3750  0.3621  0.4871
Li  0.6379  0.1250  0.0129
Li  0.8750  0.8879  0.5129
Ta  0.2500  0.7500  0.5000
Ta  0.5000  0.5000  0.0000
Re  0.0000  0.0000  0.0000
Re  0.7500  0.2500  0.5000

Calculated values
Energy relative to the lowest polymorph listed for this composition in eV per atom: 0.767
Crystal system: tetragonal
Total magnetization in μB per formula unit: 0.0
Total energy in eV per atom: -6.101
Calculated density in Mg/m³: 10.5


The following is a DFT calculation (GGA-PBE) of a relaxed structure of Li2TaRe.

Unit cell a=4.6660 b=4.6660 c=4.6660 alpha=135.88 beta=123.81 gamma=74.07
Atoms (fractional coordinates):
Li  0.0000  0.0000  0.0000
Li  0.8011  0.3011  0.5000
Ta  0.5339  0.5339  0.0000
Re  0.2583  0.7583  0.5000

Calculated values
Energy relative to the lowest polymorph listed for this composition in eV per atom: 0.231
Crystal system: orthorhombic
Total magnetization in μB per formula unit: 0.0
Total energy in eV per atom: -6.637
Calculated density in Mg/m³: 11.0


The following is a DFT calculation (GGA-PBE) of a relaxed structure of Li2TaRe.

Unit cell a=3.6532 b=3.6532 c=4.7422 alpha=90.00 beta=90.00 gamma=90.00
Atoms (fractional coordinates):
Li  0.0000  0.5000  0.0000
Li  0.5000  0.0000  0.0000
Ta  0.0000  0.0000  0.5000
Re  0.5000  0.5000  0.5000

Calculated values
Energy relative to the lowest polymorph listed for this composition in eV per atom: 0.202
Crystal system: tetragonal
Total magnetization in μB per formula unit: 0.0
Total energy in eV per atom: -6.666
Calculated density in Mg/m³: 10.0